(1)
Below is a relaxed TbHoIn3 crystal, with properties calculated at the PBE level.

Computed properties:
**Formation energy from the elements**: -9.9 kJ per mole of atoms
**ρ**: 7.5 g/cm³
**Space-group type**: P6_3/mmc
**Volume**: 295.02 Å³/cell
**DFT total energy**: -3.59 eV per atom

Unit cell a=6.351 b=7.324 c=7.324 alpha=120.00 beta=90.00 gamma=90.00
Fractional positions:
1 Tb 0.000 0.000 0.000
2 Tb 0.500 0.000 0.000
3 Ho 0.250 0.334 0.666
4 Ho 0.750 0.666 0.334
5 In 0.250 0.797 0.203
6 In 0.750 0.203 0.797
7 In 0.250 0.797 0.594
8 In 0.750 0.203 0.406
9 In 0.250 0.406 0.203
10 In 0.750 0.594 0.797

---

(2)
Below is a relaxed BaTeI2Cl crystal, with properties calculated at the PBE level.

Computed properties:
**ρ**: 4.7 g/cm³
**Space-group type**: P4/mmm
**Volume**: 194.33 Å³/cell
**DFT total energy**: -2.56 eV per atom
**Formation energy (no corrections)**: -54 kJ per mole of atoms
**Polymorph energy (0 for the lowest one)**: 0.000 eV per atom

Unit cell a=5.970 b=5.970 c=5.452 alpha=90.00 beta=90.00 gamma=90.00
Each line ends with the local moment (μB).
Fractional positions:
1 I 0.000 0.500 0.000  0.08
2 I 0.500 0.000 0.000  0.08
3 Te 0.000 0.000 0.500  0.01
4 Ba 0.500 0.500 0.500  0.00
5 Cl 0.000 0.000 0.000  0.09

---

(3)
Below is a relaxed Sn2Pd2Au crystal, with properties calculated at the PBE level.

Computed properties:
**Formation energy from the elements**: -37.4 kJ per mole of atoms
**ρ**: 10.7 g/cm³
**Space-group type**: P3m1
**Volume**: 100.61 Å³/cell
**DFT total energy**: -4.72 eV per atom
**Polymorph energy (0 for the lowest one)**: 0.002 eV per atom

Unit cell a=4.506 b=4.506 c=5.721 alpha=90.00 beta=90.00 gamma=120.00
Fractional positions:
1 Sn 0.667 0.333 0.263
2 Sn 0.000 0.000 0.685
3 Pd 0.667 0.333 0.776
4 Pd 0.333 0.667 0.505
5 Au 0.333 0.667 0.020

---

(4)
Below is a relaxed LiPt2BrO crystal, with properties calculated at the PBE level.

Computed properties:
**ρ**: 7.8 g/cm³
**Space-group type**: P4/mmm
**Volume**: 105.48 Å³/cell
**DFT total energy**: -3.14 eV per atom
**Formation energy (no corrections)**: 95 kJ per mole of atoms

Unit cell a=4.753 b=4.670 c=4.753 alpha=90.00 beta=90.00 gamma=90.00
Each line ends with the local moment (μB).
Fractional positions:
1 O 0.500 0.500 0.500  0.21
2 Br 0.000 0.000 0.000  0.00
3 Pt 0.000 0.000 0.500  -0.03
4 Pt 0.500 0.000 0.000  0.07
5 Li 0.000 0.500 0.000  0.00

---

(5)
Below is a relaxed Pm3Pr3Tl crystal, with properties calculated at the PBE level.

Computed properties:
**Formation energy from the elements**: -6.7 kJ per mole of atoms
**ρ**: 7.6 g/cm³
**Space-group type**: P6_3/m
**Volume**: 465.00 Å³/cell
**DFT total energy**: -4.49 eV per atom
**Polymorph energy (0 for the lowest one)**: 0.000 eV per atom

Unit cell a=5.774 b=9.645 c=9.644 alpha=120.02 beta=90.00 gamma=90.00
Fractional positions:
1 Pm 0.750 0.756 0.820
2 Pm 0.750 0.064 0.244
3 Pm 0.750 0.180 0.937
4 Pm 0.250 0.244 0.180
5 Pm 0.250 0.936 0.756
6 Pm 0.250 0.820 0.063
7 Pr 0.250 0.521 0.629
8 Pr 0.250 0.107 0.479
9 Pr 0.250 0.371 0.893
10 Pr 0.750 0.479 0.371
11 Pr 0.750 0.893 0.521
12 Pr 0.750 0.629 0.107
13 Tl 0.750 0.333 0.667
14 Tl 0.250 0.667 0.333

---

(6)
Below is a relaxed Th5Tc2Ge crystal, with properties calculated at the PBE level.

Computed properties:
**Formation energy from the elements**: -31.0 kJ per mole of atoms
**ρ**: 11.4 g/cm³
**Space-group type**: I4/mcm
**Volume**: 416.93 Å³/cell
**DFT total energy**: -8.13 eV per atom

Unit cell a=7.954 b=7.954 c=8.664 alpha=117.33 beta=117.33 gamma=90.00
Fractional positions:
1 Th 0.520 0.699 0.719
2 Th 0.801 0.980 0.281
3 Th 0.000 0.000 0.000
4 Th 0.500 0.500 0.000
5 Th 0.199 0.020 0.719
6 Th 0.699 0.199 0.719
7 Th 0.020 0.520 0.719
8 Th 0.301 0.801 0.281
9 Th 0.980 0.480 0.281
10 Th 0.480 0.301 0.281
11 Tc 0.138 0.362 0.000
12 Tc 0.638 0.138 0.000
13 Tc 0.362 0.862 0.000
14 Tc 0.862 0.638 0.000
15 Ge 0.750 0.750 0.500
16 Ge 0.250 0.250 0.500

---

(7)
Below is a relaxed NbHW crystal, with properties calculated at the PBE level.

Computed properties:
**ρ**: 12.4 g/cm³
**Space-group type**: Cm
**Volume**: 148.21 Å³/cell
**DFT total energy**: -8.82 eV per atom
**Polymorph energy (0 for the lowest one)**: 0.011 eV per atom

Unit cell a=4.757 b=3.301 c=10.482 alpha=90.00 beta=115.81 gamma=90.00
Fractional positions:
1 Nb 0.323 0.000 0.505
2 Nb 0.323 0.500 0.005
3 Nb 0.052 0.000 0.744
4 Nb 0.052 0.500 0.244
5 H 0.271 0.000 0.314
6 H 0.271 0.500 0.814
7 H 0.238 0.000 0.083
8 H 0.238 0.500 0.583
9 W 0.802 0.000 0.994
10 W 0.802 0.500 0.494
11 W 0.592 0.000 0.259
12 W 0.592 0.500 0.759

---

(8)
Below is a relaxed Dy3YF crystal, with properties calculated at the PBE level.

Computed properties:
**ρ**: 7.7 g/cm³
**Space-group type**: Pm-3m
**Volume**: 127.96 Å³/cell
**DFT total energy**: -5.36 eV per atom
**Formation energy (no corrections)**: -90 kJ per mole of atoms

Unit cell a=5.039 b=5.039 c=5.039 alpha=90.00 beta=90.00 gamma=90.00
Fractional positions:
1 Y 0.500 0.500 0.500
2 F 0.000 0.000 0.000
3 Dy 0.000 0.500 0.000
4 Dy 0.000 0.000 0.500
5 Dy 0.500 0.000 0.000

---

(9)
Below is a relaxed InRe2Os crystal, with properties calculated at the PBE level.

Computed properties:
**Formation energy from the elements**: 52.4 kJ per mole of atoms
**ρ**: 17.7 g/cm³
**Space-group type**: Immm
**Volume**: 63.65 Å³/cell
**DFT total energy**: -9.17 eV per atom

Unit cell a=5.312 b=5.312 c=5.312 alpha=145.38 beta=130.97 gamma=61.41
Fractional positions:
1 In 0.750 0.250 0.500
2 Os 0.250 0.750 0.500
3 Re 0.000 0.000 0.000
4 Re 0.500 0.500 0.000

---

(10)
Below is a relaxed SiBrN2F crystal, with properties calculated at the PBE level.

Computed properties:
**ρ**: 5.0 g/cm³
**Space-group type**: P4/mmm
**Volume**: 51.91 Å³/cell
**DFT total energy**: -4.83 eV per atom
**Formation energy (no corrections)**: 28 kJ per mole of atoms
**Polymorph energy (0 for the lowest one)**: 0.000 eV per atom

Unit cell a=3.761 b=3.761 c=3.669 alpha=90.00 beta=90.00 gamma=90.00
Fractional positions:
1 Si 0.000 0.000 0.000
2 N 0.000 0.500 0.000
3 N 0.500 0.000 0.000
4 Br 0.500 0.500 0.500
5 F 0.000 0.000 0.500

---

(11)
Below is a relaxed ScIn2Ir crystal, with properties calculated at the PBE level.

Computed properties:
**Formation energy from the elements**: -11.5 kJ per mole of atoms
**ρ**: 9.8 g/cm³
**Space-group type**: Cmmm
**Volume**: 79.03 Å³/cell
**DFT total energy**: -5.29 eV per atom

Unit cell a=5.110 b=5.110 c=3.239 alpha=89.99 beta=89.99 gamma=110.83
Fractional positions:
1 In 0.000 0.000 0.000
2 In 0.500 0.500 0.000
3 Ir 0.500 0.000 0.500
4 Sc 0.000 0.500 0.500

---

(12)
Below is a relaxed KLi2TaN crystal, with properties calculated at the PBE level.

Computed properties:
**ρ**: 3.3 g/cm³
**Space-group type**: P4/mmm
**Volume**: 124.22 Å³/cell
**DFT total energy**: -4.57 eV per atom
**Formation energy (no corrections)**: 43 kJ per mole of atoms

Unit cell a=5.564 b=4.012 c=5.564 alpha=90.00 beta=90.00 gamma=90.00
Each line ends with the local moment (μB).
Fractional positions:
1 K 0.500 0.500 0.500  0.00
2 N 0.000 0.500 0.000  -0.07
3 Li 0.000 0.000 0.500  0.03
4 Li 0.500 0.000 0.000  0.06
5 Ta 0.000 0.000 0.000  0.85

---

(13)
Below is a relaxed Rb2GaBO4 crystal, with properties calculated at the PBE level.

Computed properties:
**ρ**: 3.7 g/cm³
**Space-group type**: Fddd
**Volume**: 285.53 Å³/cell
**DFT total energy**: -5.82 eV per atom
**Formation energy (no corrections)**: -182 kJ per mole of atoms

Unit cell a=4.672 b=6.217 c=10.862 alpha=85.37 beta=77.58 gamma=67.93
Fractional positions:
1 Rb 0.174 0.000 0.651
2 Rb 0.826 0.000 0.349
3 Rb 0.576 0.500 0.849
4 Rb 0.924 0.500 0.151
5 Ga 0.750 0.500 0.500
6 Ga 0.000 0.000 0.000
7 B 0.250 0.500 0.500
8 B 0.500 0.000 0.000
9 O 0.338 0.849 0.080
10 O 0.266 0.151 0.920
11 O 0.813 0.849 0.920
12 O 0.583 0.151 0.080
13 O 0.412 0.651 0.420
14 O 0.484 0.349 0.580
15 O 0.937 0.651 0.580
16 O 0.167 0.349 0.420

---

(14)
Below is a relaxed TlP2Au crystal, with properties calculated at the PBE level.

Computed properties:
**Formation energy from the elements**: 27.4 kJ per mole of atoms
**ρ**: 8.7 g/cm³
**Space-group type**: P4/mmm
**Volume**: 88.36 Å³/cell
**DFT total energy**: -3.83 eV per atom
**Polymorph energy (0 for the lowest one)**: 0.314 eV per atom

Unit cell a=3.591 b=3.591 c=6.852 alpha=90.00 beta=90.00 gamma=90.00
Fractional positions:
1 Au 0.500 0.500 0.750
2 P 0.000 0.000 0.905
3 P 0.000 0.000 0.595
4 Tl 0.500 0.500 0.250

---

(15)
Below is a relaxed La10Dy4Ho crystal, with properties calculated at the PBE level.

Computed properties:
**Formation energy from the elements**: 61.3 kJ per mole of atoms
**ρ**: 5.9 g/cm³
**Space-group type**: I4/m
**Volume**: 618.69 Å³/cell
**DFT total energy**: -4.18 eV per atom

Unit cell a=7.944 b=9.678 c=9.678 alpha=80.30 beta=65.77 gamma=65.77
Fractional positions:
1 La 0.250 0.500 0.500
2 La 0.651 0.300 0.899
3 La 0.050 0.101 0.300
4 La 0.450 0.899 0.700
5 La 0.850 0.700 0.101
6 La 0.349 0.700 0.101
7 La 0.750 0.500 0.500
8 La 0.150 0.300 0.899
9 La 0.550 0.101 0.300
10 La 0.950 0.899 0.700
11 Dy 0.400 0.801 0.400
12 Dy 0.800 0.600 0.801
13 Dy 0.200 0.400 0.199
14 Dy 0.600 0.199 0.600
15 Ho 0.000 0.000 0.000

---

(16)
Below is a relaxed PRhPb crystal, with properties calculated at the PBE level.

Computed properties:
**Formation energy from the elements**: 25.2 kJ per mole of atoms
**ρ**: 10.0 g/cm³
**Space-group type**: P-62m
**Volume**: 169.27 Å³/cell
**DFT total energy**: -5.23 eV per atom

Unit cell a=7.717 b=7.717 c=3.282 alpha=90.00 beta=90.00 gamma=120.00
Fractional positions:
1 P 0.000 0.405 0.500
2 P 0.595 0.595 0.500
3 P 0.405 0.000 0.500
4 Rh 0.000 0.000 0.500
5 Rh 0.667 0.333 0.000
6 Rh 0.333 0.667 0.000
7 Pb 0.000 0.717 0.000
8 Pb 0.283 0.283 0.000
9 Pb 0.717 0.000 0.000

---

(17)
Below is a relaxed BaNpRh4S8 crystal, with properties calculated at the PBE level.

Computed properties:
**ρ**: 5.9 g/cm³
**Space-group type**: R3m
**Volume**: 293.31 Å³/cell
**DFT total energy**: -6.17 eV per atom
**Formation energy (no corrections)**: -62 kJ per mole of atoms

Unit cell a=7.716 b=7.716 c=7.226 alpha=57.73 beta=57.73 gamma=60.00
Each line ends with the local moment (μB).
Fractional positions:
1 Ba 0.412 0.412 0.764  -0.02
2 Np 0.977 0.977 0.068  2.65
3 Rh 0.624 0.624 0.129  -0.64
4 Rh 0.004 0.498 0.495  -0.05
5 Rh 0.498 0.004 0.495  -0.05
6 Rh 0.004 0.004 0.495  -0.05
7 S 0.222 0.839 0.718  -0.07
8 S 0.839 0.222 0.718  -0.07
9 S 0.222 0.222 0.718  -0.07
10 S 0.235 0.235 0.296  -0.05
11 S 0.733 0.237 0.297  -0.08
12 S 0.237 0.733 0.297  -0.08
13 S 0.733 0.733 0.297  -0.08
14 S 0.763 0.763 0.712  0.00

---

(18)
Below is a relaxed BeInCu2 crystal, with properties calculated at the PBE level.

Computed properties:
**Formation energy from the elements**: 18.8 kJ per mole of atoms
**ρ**: 7.4 g/cm³
**Space-group type**: Pm
**Volume**: 56.03 Å³/cell
**DFT total energy**: -3.47 eV per atom
**Polymorph energy (0 for the lowest one)**: 0.132 eV per atom

Unit cell a=3.996 b=2.805 c=5.197 alpha=74.05 beta=90.00 gamma=90.00
Fractional positions:
1 Be 0.500 0.916 0.793
2 Cu 0.000 0.812 0.000
3 Cu 0.500 0.220 0.182
4 In 0.000 0.552 0.526

---

(19)
Below is a relaxed BaCa3Pd crystal, with properties calculated at the PBE level.

Computed properties:
**Formation energy from the elements**: -29.6 kJ per mole of atoms
**ρ**: 3.1 g/cm³
**Space-group type**: C2/m
**Volume**: 388.98 Å³/cell
**DFT total energy**: -2.93 eV per atom
**Polymorph energy (0 for the lowest one)**: 0.004 eV per atom

Unit cell a=6.887 b=7.964 c=9.087 alpha=55.22 beta=90.00 gamma=75.18
Fractional positions:
1 Ca 0.111 0.426 0.886
2 Ca 0.097 0.968 0.409
3 Ca 0.577 0.002 0.597
4 Ca 0.111 0.426 0.475
5 Ca 0.591 0.460 0.663
6 Ca 0.577 0.002 0.187
7 Ba 0.632 0.532 0.127
8 Ba 0.056 0.896 0.945
9 Pd 0.278 0.310 0.238
10 Pd 0.410 0.118 0.834

---

(20)
Below is a relaxed OsOF2 crystal, with properties calculated at the PBE level.

Computed properties:
**ρ**: 7.2 g/cm³
**Space-group type**: R-3m
**Volume**: 56.46 Å³/cell
**DFT total energy**: -5.12 eV per atom
**Formation energy (no corrections)**: -13 kJ per mole of atoms
**Polymorph energy (0 for the lowest one)**: 0.000 eV per atom

Unit cell a=9.266 b=9.266 c=9.266 alpha=16.58 beta=16.58 gamma=16.58
Each line ends with the local moment (μB).
Fractional positions:
1 Os 0.000 0.000 0.000  -0.03
2 O 0.500 0.500 0.500  1.68
3 F 0.931 0.931 0.931  0.00
4 F 0.069 0.069 0.069  0.00

---

(21)
Below is a relaxed CsBTe2 crystal, with properties calculated at the PBE level.

Computed properties:
**ρ**: 2.7 g/cm³
**Space-group type**: R-3m
**Volume**: 248.95 Å³/cell
**DFT total energy**: -3.62 eV per atom
**Formation energy (no corrections)**: -16 kJ per mole of atoms

Unit cell a=7.659 b=7.659 c=7.659 alpha=50.82 beta=50.82 gamma=50.82
Fractional positions:
1 Cs 0.500 0.500 0.500
2 B 0.000 0.000 0.000
3 Te 0.102 0.102 0.102
4 Te 0.898 0.898 0.898

---

(22)
Below is a relaxed Si2Os crystal, with properties calculated at the PBE level.

Computed properties:
**ρ**: 10.2 g/cm³
**Space-group type**: Cmcm
**Volume**: 80.45 Å³/cell
**DFT total energy**: -7.32 eV per atom
**Formation energy (no corrections)**: 3 kJ per mole of atoms

Unit cell a=5.964 b=5.964 c=3.902 alpha=90.00 beta=90.00 gamma=144.58
Fractional positions:
1 Si 0.432 0.568 0.250
2 Si 0.568 0.432 0.750
3 Si 0.757 0.243 0.250
4 Si 0.243 0.757 0.750
5 Os 0.105 0.895 0.250
6 Os 0.895 0.105 0.750

---

Table of size of the total moment (μB/f.u.), in record order: 0.000, 0.344, 0.000, 0.266, 0.001, 0.000, 0.000, 0.000, 0.000, 0.000, 0.000, 1.372, 0.000, 0.000, 0.000, 0.000, 1.116, 0.000, 0.000, 2.015, 0.000, 0.000